1.
Here is GeAuNF2 at its PBEsol-relaxed geometry from Alexandria. Energies are from meta-GGA SCAN.

Results
Uncorrected formation energy in eV/atom: 0.241
D(E_F) in states/eV/cell: 2.43
Crystal system: tetragonal
Total magnetization in μB/atom: 0.00
Calculated total energy in eV/atom: -20.682

Unit cell a=4.553 b=4.553 c=3.723 alpha=90.00 beta=90.00 gamma=90.00
Sites, in units of the cell vectors:
Ge 0.000 0.000 0.000
Au 0.500 0.500 0.500
N 0.500 0.500 0.000
F 0.000 0.500 0.500
F 0.500 0.000 0.500

=====

2.
Here is GeAuOF2 at its PBEsol-relaxed geometry from Alexandria. Energies are from meta-GGA SCAN.

Results
Uncorrected formation energy in eV/atom: -0.951
D(E_F) in states/eV/cell: 0.75
Crystal system: tetragonal
Total magnetization in μB/atom: 0.00
Calculated total energy in eV/atom: -21.262

Unit cell a=4.141 b=4.141 c=3.726 alpha=90.00 beta=90.00 gamma=90.00
Sites, in units of the cell vectors:
Ge 0.000 0.000 0.000
Au 0.500 0.500 0.500
O 0.000 0.000 0.500
F 0.000 0.500 0.000
F 0.500 0.000 0.000

=====

3.
Here is Ge2TeAuF at its PBEsol-relaxed geometry from Alexandria. Energies are from meta-GGA SCAN.

Results
Uncorrected formation energy in eV/atom: 0.361
D(E_F) in states/eV/cell: 4.05
Crystal system: tetragonal
Total magnetization in μB/atom: 0.00
Calculated total energy in eV/atom: -29.264

Unit cell a=4.995 b=4.995 c=5.331 alpha=90.00 beta=90.00 gamma=90.00
Sites, in units of the cell vectors:
Ge 0.000 0.500 0.000
Ge 0.500 0.000 0.000
Te 0.000 0.000 0.500
Au 0.000 0.000 0.000
F 0.500 0.500 0.500